1.
Entry from Alexandria: crystalline Sr2Be2Zn at its relaxed geometry (PBE-GGA).

a b c (Å): 3.414 3.414 20.223
angles (deg): 90.00 90.00 90.00
Space group I4/mmm (No. 139)
One atom of each set of equivalent atoms:
Sr 0.000 0.000 0.110
Be 0.000 0.500 0.250
Zn 0.000 0.000 0.500

Computed properties:
Energy above the lowest structure with this stoichiometry (kJ per mole of atoms): 0.0
ΔE_f (eV per atom): 0.457


2.
Entry from Alexandria: crystalline TbSm3Y6Th2 at its relaxed geometry (PBE-GGA).

a b c (Å): 6.223 10.772 11.828
angles (deg): 90.00 100.11 90.00
Space group C2/m (No. 12)
One atom of each set of equivalent atoms:
Tb 0.000 0.000 0.000
Sm 0.000 0.166 0.500
Sm 0.000 0.500 0.500
Y 0.245 0.500 0.246
Y 0.249 0.331 0.754
Th 0.000 0.333 0.000

Computed properties:
ΔE_f (eV per atom): 0.021


3.
Entry from Alexandria: crystalline BeCr2Os at its relaxed geometry (PBE-GGA).

a b c (Å): 2.895 3.778 8.343
angles (deg): 90.00 90.00 90.00
Space group Immm (No. 71)
One atom of each set of equivalent atoms:
Be 0.000 0.000 0.000
Cr 0.000 0.500 0.252
Os 0.000 0.000 0.500

Computed properties:
ΔE_f (eV per atom): -0.067


4.
Entry from Alexandria: crystalline BaNa2Au9 at its relaxed geometry (PBE-GGA).

a b c (Å): 5.6821 5.6821 28.2387
angles (deg): 90.00 90.00 120.00
Space group R-3m (No. 166, hexagonal axes)
One atom of each set of equivalent atoms:
Ba 0.0000 0.0000 0.0000
Na 0.0000 0.0000 0.1470
Au 0.0000 0.0000 0.3327
Au 0.0000 0.0000 0.5000
Au 0.0027 0.5013 0.9145

Computed properties:
ΔE_f (eV per atom): -0.390


5.
Entry from Alexandria: crystalline La9Pr2Sm at its relaxed geometry (PBE-GGA).

a b c (Å): 5.245 5.245 15.736
angles (deg): 90.00 90.00 90.00
Space group P4/mmm (No. 123)
One atom of each set of equivalent atoms:
La 0.000 0.000 0.000
La 0.000 0.000 0.333
La 0.000 0.500 0.166
La 0.000 0.500 0.500
Pr 0.500 0.500 0.333
Sm 0.500 0.500 0.000

Computed properties:
ΔE_f (eV per atom): 0.003


6.
Entry from Alexandria: crystalline HfMgV4 at its relaxed geometry (PBE-GGA).

a b c (Å): 7.309 7.309 7.309
angles (deg): 90.00 90.00 90.00
Space group F-43m (No. 216)
One atom of each set of equivalent atoms:
Hf 0.000 0.000 0.000
Mg 0.250 0.250 0.750
V 0.129 0.129 0.371

Computed properties:
ΔE_f (eV per atom): 0.184


7.
Entry from Alexandria: crystalline TiInSi2Mo at its relaxed geometry (PBE-GGA).

a b c (Å): 4.782 4.782 4.722
angles (deg): 90.00 90.00 90.00
Space group P4/mmm (No. 123)
One atom of each set of equivalent atoms:
Ti 0.000 0.000 0.000
In 0.500 0.500 0.500
Si 0.000 0.500 0.000
Mo 0.000 0.000 0.500

Computed properties:
Uncorrected formation energy (eV per atom): 0.90


8.
Entry from Alexandria: crystalline MgNbTeI2 at its relaxed geometry (PBE-GGA).

a b c (Å): 5.708 5.708 5.449
angles (deg): 90.00 90.00 90.00
Space group P4/mmm (No. 123)
One atom of each set of equivalent atoms:
Mg 0.000 0.000 0.000
Nb 0.500 0.500 0.500
Te 0.500 0.500 0.000
I 0.000 0.500 0.500

Computed properties:
Energy above the lowest structure with this stoichiometry (kJ per mole of atoms): 0.0
Uncorrected formation energy (eV per atom): 0.09


9.
Entry from Alexandria: crystalline Pm12Co2Hg5 at its relaxed geometry (PBE-GGA).

a b c (Å): 16.859 7.642 9.993
angles (deg): 90.00 107.53 90.00
Space group C2/m (No. 12)
One atom of each set of equivalent atoms:
Pm 0.001 0.000 0.182
Pm 0.001 0.500 0.230
Pm 0.150 0.251 0.573
Pm 0.160 0.268 0.081
Co 0.000 0.292 0.000
Hg 0.000 0.000 0.500
Hg 0.194 0.500 0.836
Hg 0.197 0.500 0.360

Computed properties:
ΔE_f (eV per atom): -0.123


10.
Entry from Alexandria: crystalline SrLa4Pt at its relaxed geometry (PBE-GGA).

a b c (Å): 9.246 9.246 9.246
angles (deg): 90.00 90.00 90.00
Space group F-43m (No. 216)
One atom of each set of equivalent atoms:
Sr 0.000 0.000 0.000
La 0.121 0.121 0.621
Pt 0.250 0.250 0.250

Computed properties:
ΔE_f (eV per atom): 0.318


11.
Entry from Alexandria: crystalline PdPbIO2 at its relaxed geometry (PBE-GGA).

a b c (Å): 4.285 4.285 5.494
angles (deg): 90.00 90.00 90.00
Space group P4/mmm (No. 123)
One atom of each set of equivalent atoms:
Pd 0.000 0.000 0.000
Pb 0.500 0.500 0.500
I 0.000 0.000 0.500
O 0.000 0.500 0.000

Computed properties:
Energy above the lowest structure with this stoichiometry (kJ per mole of atoms): 8.6
Uncorrected formation energy (eV per atom): 0.10


12.
Entry from Alexandria: crystalline MnCoSe2 at its relaxed geometry (PBE-GGA).

a b c (Å): 3.355 3.355 6.685
angles (deg): 90.00 90.00 90.00
Space group P4mm (No. 99)
One atom of each set of equivalent atoms:
Mn 0.000 0.000 0.000
Co 0.500 0.500 0.782
Se 0.000 0.000 0.649
Se 0.500 0.500 0.133

Computed properties:
Energy above the lowest structure with this stoichiometry (kJ per mole of atoms): 10.0
Uncorrected formation energy (eV per atom): -0.25


13.
Entry from Alexandria: crystalline Ta2BeCu at its relaxed geometry (PBE-GGA).

a b c (Å): 2.839 3.643 5.577
angles (deg): 90.00 90.19 90.00
Space group P2/m (No. 10)
One atom of each set of equivalent atoms:
Ta 0.001 0.000 0.257
Be 0.500 0.500 0.500
Cu 0.500 0.500 0.000

Computed properties:
ΔE_f (eV per atom): 0.081


14.
Entry from Alexandria: crystalline TbEuNi4 at its relaxed geometry (PBE-GGA).

a b c (Å): 7.231 7.231 7.231
angles (deg): 90.00 90.00 90.00
Space group F-43m (No. 216)
One atom of each set of equivalent atoms:
Tb 0.000 0.000 0.000
Eu 0.250 0.250 0.250
Ni 0.125 0.125 0.625

Computed properties:
ΔE_f (eV per atom): -0.302


15.
Entry from Alexandria: crystalline CaTbEr2Bi4 at its relaxed geometry (PBE-GGA).

a b c (Å): 7.808 4.466 7.820
angles (deg): 90.00 109.10 90.00
Space group P2/m (No. 10)
One atom of each set of equivalent atoms:
Ca 0.000 0.000 0.000
Tb 0.500 0.500 0.000
Er 0.000 0.500 0.500
Er 0.500 0.000 0.500
Bi 0.251 0.000 0.745
Bi 0.256 0.500 0.258

Computed properties:
ΔE_f (eV per atom): -0.789


16.
Entry from Alexandria: crystalline CeHoNi at its relaxed geometry (PBE-GGA).

a b c (Å): 7.215 5.833 6.815
angles (deg): 90.00 105.07 90.00
Space group P2_1/c (No. 14)
One atom of each set of equivalent atoms:
Ce 0.080 0.145 0.180
Ho 0.361 0.638 0.143
Ni 0.347 0.126 0.987

Computed properties:
Energy above the lowest structure with this stoichiometry (kJ per mole of atoms): 0.0
ΔE_f (eV per atom): -0.256


17.
Entry from Alexandria: crystalline SmCu2AsP at its relaxed geometry (PBE-GGA).

a b c (Å): 4.159 4.159 5.955
angles (deg): 90.00 90.00 90.00
Space group P4mm (No. 99)
One atom of each set of equivalent atoms:
Sm 0.000 0.000 0.000
Cu 0.000 0.500 0.386
As 0.500 0.500 0.103
P 0.000 0.000 0.533

Computed properties:
ΔE_f (eV per atom): -0.499


18.
Entry from Alexandria: crystalline K3MgRe2O9 at its relaxed geometry (PBE-GGA).

a b c (Å): 5.6339 5.6339 6.9329
angles (deg): 90.00 90.00 120.00
Space group P-3m1 (No. 164)
One atom of each set of equivalent atoms:
K 0.0000 0.0000 0.0000
K 0.3333 0.6667 0.6655
Mg 0.0000 0.0000 0.5000
Re 0.3333 0.6667 0.1737
O 0.0000 0.5000 0.0000
O 0.1745 0.3490 0.3186

Computed properties:
Uncorrected formation energy (eV per atom): -1.87


19.
Entry from Alexandria: crystalline CsPtI at its relaxed geometry (PBE-GGA).

a b c (Å): 11.580 4.025 10.331
angles (deg): 90.00 90.00 90.00
Space group Pnma (No. 62)
One atom of each set of equivalent atoms:
Cs 0.232 0.250 0.005
Pt 0.012 0.250 0.417
I 0.028 0.750 0.240

Computed properties:
Energy above the lowest structure with this stoichiometry (kJ per mole of atoms): 1.8
Uncorrected formation energy (eV per atom): -0.57


20.
Entry from Alexandria: crystalline ZrGaRh2I at its relaxed geometry (PBE-GGA).

a b c (Å): 4.814 4.814 5.295
angles (deg): 90.00 90.00 90.00
Space group P4/mmm (No. 123)
One atom of each set of equivalent atoms:
Zr 0.000 0.000 0.000
Ga 0.500 0.500 0.000
Rh 0.000 0.500 0.500
I 0.000 0.000 0.500

Computed properties:
Uncorrected formation energy (eV per atom): 0.84


21.
Entry from Alexandria: crystalline BaAsSeBr2 at its relaxed geometry (PBE-GGA).

a b c (Å): 5.320 5.320 5.494
angles (deg): 90.00 90.00 90.00
Space group P4/mmm (No. 123)
One atom of each set of equivalent atoms:
Ba 0.000 0.000 0.000
As 0.500 0.500 0.500
Se 0.500 0.500 0.000
Br 0.000 0.500 0.500

Computed properties:
Energy above the lowest structure with this stoichiometry (kJ per mole of atoms): 0.0
Uncorrected formation energy (eV per atom): -0.94


22.
Entry from Alexandria: crystalline Ba2CdAg4Au3 at its relaxed geometry (PBE-GGA).

a b c (Å): 4.624 4.624 12.041
angles (deg): 90.00 90.00 90.00
Space group P-4m2 (No. 115)
One atom of each set of equivalent atoms:
Ba 0.000 0.500 0.243
Cd 0.000 0.000 0.500
Ag 0.000 0.000 0.000
Ag 0.000 0.500 0.636
Ag 0.500 0.500 0.000
Au 0.000 0.500 0.863
Au 0.500 0.500 0.500

Computed properties:
ΔE_f (eV per atom): -0.332


23.
Entry from Alexandria: crystalline AlHgGe3 at its relaxed geometry (PBE-GGA).

a b c (Å): 4.930 4.930 4.930
angles (deg): 90.00 90.00 90.00
Space group Pm-3m (No. 221)
One atom of each set of equivalent atoms:
Al 0.000 0.000 0.000
Hg 0.500 0.500 0.500
Ge 0.000 0.000 0.500

Computed properties:
Energy above the lowest structure with this stoichiometry (kJ per mole of atoms): 0.0
ΔE_f (eV per atom): 0.538


24.
Entry from Alexandria: crystalline CaInSb2Te at its relaxed geometry (PBE-GGA).

a b c (Å): 6.044 6.044 5.971
angles (deg): 90.00 90.00 90.00
Space group P4/mmm (No. 123)
One atom of each set of equivalent atoms:
Ca 0.000 0.000 0.000
In 0.500 0.500 0.500
Sb 0.000 0.500 0.000
Te 0.000 0.000 0.500

Computed properties:
Energy above the lowest structure with this stoichiometry (kJ per mole of atoms): 15.7
Uncorrected formation energy (eV per atom): 0.31


25.
Entry from Alexandria: crystalline NaTbRh4 at its relaxed geometry (PBE-GGA).

a b c (Å): 7.490 7.490 7.490
angles (deg): 90.00 90.00 90.00
Space group F-43m (No. 216)
One atom of each set of equivalent atoms:
Na 0.000 0.000 0.000
Tb 0.250 0.250 0.250
Rh 0.125 0.125 0.625

Computed properties:
ΔE_f (eV per atom): -0.338


Short version: density of states at the Fermi level = 3.3 16.3 3.0 2.8 19.1 7.9 4.4 5.3 25.5 8.0 7.1 3.0 3.0 13.8 3.0 5.6 2.5 4.0 0.0 6.1 0.1 2.6 3.4 5.8 7.8 states/eV/f.u., in the order given.
Short version: calculated volume = 23.6 32.5 11.4 21.9 36.1 16.3 21.6 35.5 32.3 32.9 20.2 18.8 14.4 15.8 32.2 23.1 20.6 12.7 40.1 24.5 31.1 25.7 24.0 43.6 17.5 Å³ per atom, in the order given.